[1]
Computed, not measured: a geometry-optimized Cr2CuSi structure at the PBE level of DFT.

Cell lengths 8.4714, 8.4714, 8.4714 Å; angles 17.50, 17.50, 17.50 degrees
Positions (direct):
Cr: 0.2474 0.2474 0.2474
Cr: 0.7526 0.7526 0.7526
Cu: 0.0000 0.0000 0.0000
Si: 0.5000 0.5000 0.5000

total magnetic moment = 0.00 μB per atom
SG = R-3m
uncorrected formation energy = 0.177 eV per atom



[2]
Computed, not measured: a geometry-optimized Pr4Ga2Cu5 structure at the PBE level of DFT.

Cell lengths 6.7354, 4.5824, 7.7233 Å; angles 90.00, 93.35, 90.00 degrees
Positions (direct):
Pr: 0.2340 0.0000 0.3931
Pr: 0.2486 0.0000 0.8968
Pr: 0.7514 0.0000 0.1032
Pr: 0.7660 0.0000 0.6069
Ga: 0.0937 0.5000 0.1511
Ga: 0.9063 0.5000 0.8489
Cu: 0.1569 0.5000 0.6269
Cu: 0.4643 0.5000 0.1697
Cu: 0.5000 0.5000 0.5000
Cu: 0.5357 0.5000 0.8303
Cu: 0.8431 0.5000 0.3731

calculated formation energy = -2.3 eV/f.u.
total magnetic moment = 0.00 μB per atom
SG = P2/m